1.
Crystalline AlCuSi2 at its relaxed geometry. Source: the Alexandria database, functional PBE.

Summary:
Space group: C2/m
Calculated density in g/cm³: 3.72

abc: 11.334 10.360 11.334
angles: 23.75 25.18 23.75
Sites, in units of the cell vectors:
Si (0.502, 0.800, 0.002)
Si (0.002, 0.800, 0.502)
Si (0.502, 0.212, 0.502)
Si (0.498, 0.200, 0.998)
Si (0.498, 0.788, 0.498)
Si (0.998, 0.200, 0.498)
Al (0.326, 0.349, 0.326)
Al (0.674, 0.651, 0.674)
Al (0.500, 0.500, 0.500)
Cu (0.167, 0.165, 0.167)
Cu (0.833, 0.835, 0.833)
Cu (0.000, 0.000, 0.000)

2.
Crystalline AlCuSi at its relaxed geometry. Source: the Alexandria database, functional PBE.

Summary:
Space group: P4/mbm
Calculated density in g/cm³: 4.46

abc: 5.809 5.238 5.809
angles: 90.01 90.04 90.00
Sites, in units of the cell vectors:
Si (0.647, 0.500, 0.353)
Si (0.853, 0.500, 0.853)
Si (0.353, 0.500, 0.647)
Si (0.147, 0.500, 0.147)
Al (0.667, 0.000, 0.333)
Al (0.832, 0.000, 0.832)
Al (0.333, 0.000, 0.667)
Al (0.168, 0.000, 0.168)
Cu (0.500, 0.737, 0.000)
Cu (0.000, 0.263, 0.500)
Cu (0.500, 0.263, 0.000)
Cu (0.000, 0.737, 0.500)

3.
Crystalline AlCuSi at its relaxed geometry. Source: the Alexandria database, functional PBE.

Summary:
Space group: P-6m2
Calculated density in g/cm³: 4.43

abc: 3.931 3.931 6.639
angles: 90.00 90.00 120.00
Sites, in units of the cell vectors:
Al (0.667, 0.333, 0.500)
Al (0.667, 0.333, 0.000)
Cu (0.000, 0.000, 0.311)
Cu (0.000, 0.000, 0.689)
Si (0.333, 0.667, 0.195)
Si (0.333, 0.667, 0.805)

4.
Crystalline AlCu6Si at its relaxed geometry. Source: the Alexandria database, functional PBE.

Summary:
Space group: P4/mmm
Offset from the most stable computed form in meV/atom: 255
Calculated density in g/cm³: 6.48

abc: 3.458 3.458 9.344
angles: 90.00 90.00 90.00
Sites, in units of the cell vectors:
Al (0.000, 0.000, 0.000)
Cu (0.500, 0.500, 0.125)
Cu (0.500, 0.500, 0.875)
Cu (0.000, 0.500, 0.319)
Cu (0.500, 0.000, 0.319)
Cu (0.000, 0.500, 0.681)
Cu (0.500, 0.000, 0.681)
Si (0.000, 0.000, 0.500)

5.
Crystalline AlCu2Si at its relaxed geometry. Source: the Alexandria database, functional PBE.

Summary:
Space group: Cmcm
Calculated density in g/cm³: 5.42

abc: 4.940 4.940 6.671
angles: 90.00 90.00 136.74
Sites, in units of the cell vectors:
Al (0.456, 0.544, 0.250)
Al (0.544, 0.456, 0.750)
Cu (0.132, 0.868, 0.443)
Cu (0.868, 0.132, 0.943)
Cu (0.132, 0.868, 0.057)
Cu (0.868, 0.132, 0.557)
Si (0.743, 0.257, 0.250)
Si (0.257, 0.743, 0.750)

6.
Crystalline AlCuSi2 at its relaxed geometry. Source: the Alexandria database, functional PBE.

Summary:
Space group: I-42d
Calculated density in g/cm³: 3.67

abc: 4.160 4.160 8.221
angles: 75.34 75.34 90.00
Sites, in units of the cell vectors:
Si (0.689, 0.125, 0.250)
Si (0.061, 0.625, 0.250)
Si (0.375, 0.311, 0.750)
Si (0.875, 0.939, 0.750)
Al (0.500, 0.500, 0.000)
Al (0.250, 0.750, 0.500)
Cu (0.000, 0.000, 0.000)
Cu (0.750, 0.250, 0.500)

Let's list ΔE_f (raw) in order: 0.231 -0.001 0.024 0.140 0.017 0.132 eV per atom.